[1]
# HoThU PBE optimized geometry
data_HoThU
_chemical_formula_sum 'Ho2 Th2 U2'
_cell_length_a 8.7166
_cell_length_b 8.7166
_cell_length_c 5.7309
_cell_angle_alpha 98.94
_cell_angle_beta 98.94
_cell_angle_gamma 23.84
_space_group_name_H-M_alt 'P 1'
_space_group_IT_number 1
_space_group_name_Hall 'P 1'
loop_
_atom_site_label
_atom_site_type_symbol
_atom_site_fract_x
_atom_site_fract_y
_atom_site_fract_z
_atom_site_occupancy
Ho1 Ho 0.0646 0.0646 0.2775 1
Ho2 Ho 0.9354 0.9354 0.7225 1
Th1 Th 0.3775 0.3775 0.2003 1
Th2 Th 0.6225 0.6225 0.7997 1
U1 U 0.2619 0.2619 0.6529 1
U2 U 0.7381 0.7381 0.3471 1
# - ρ: 12.14 g cm⁻³
# - Crystal system: monoclinic
# - DFT total energy: -7.54 eV/atom
# - Formation energy from the elements: 0.7 eV/f.u.
# - Total moment: 0.0 μB per formula unit

=====

[2]
# Y12Ho5Th PBE optimized geometry
data_Y12Ho5Th
_chemical_formula_sum 'Y12 Ho5 Th1'
_cell_length_a 10.6888
_cell_length_b 10.6888
_cell_length_c 5.0418
_cell_angle_alpha 90.00
_cell_angle_beta 90.00
_cell_angle_gamma 90.07
_space_group_name_H-M_alt 'P 1'
_space_group_IT_number 1
_space_group_name_Hall 'P 1'
loop_
_atom_site_label
_atom_site_type_symbol
_atom_site_fract_x
_atom_site_fract_y
_atom_site_fract_z
_atom_site_occupancy
Y1 Y 0.0011 0.6682 0.5000 1
Y2 Y 0.1640 0.1640 0.0000 1
Y3 Y 0.1690 0.5013 0.0000 1
Y4 Y 0.3318 0.9989 0.5000 1
Y5 Y 0.3349 0.3349 0.5000 1
Y6 Y 0.4987 0.8310 0.0000 1
Y7 Y 0.5013 0.1690 0.0000 1
Y8 Y 0.6651 0.6651 0.5000 1
Y9 Y 0.6682 0.0011 0.5000 1
Y10 Y 0.8310 0.4987 0.0000 1
Y11 Y 0.8360 0.8360 0.0000 1
Y12 Y 0.9989 0.3318 0.5000 1
Ho1 Ho 0.1645 0.8355 0.0000 1
Ho2 Ho 0.3336 0.6664 0.5000 1
Ho3 Ho 0.5000 0.5000 0.0000 1
Ho4 Ho 0.6664 0.3336 0.5000 1
Ho5 Ho 0.8355 0.1645 0.0000 1
Th1 Th 0.0000 0.0000 0.5000 1
# - ρ: 6.12 g cm⁻³
# - Crystal system: orthorhombic
# - DFT total energy: -5.96 eV/atom
# - Formation energy from the elements: 0.5 eV/f.u.
# - Total moment: 0.0 μB per formula unit

=====

[3]
# Y2Ho12Th5 PBE optimized geometry
data_Y2Ho12Th5
_chemical_formula_sum 'Y2 Ho12 Th5'
_cell_length_a 9.9290
_cell_length_b 9.9290
_cell_length_c 10.2684
_cell_angle_alpha 111.39
_cell_angle_beta 111.39
_cell_angle_gamma 41.20
_space_group_name_H-M_alt 'P 1'
_space_group_IT_number 1
_space_group_name_Hall 'P 1'
loop_
_atom_site_label
_atom_site_type_symbol
_atom_site_fract_x
_atom_site_fract_y
_atom_site_fract_z
_atom_site_occupancy
Y1 Y 0.2209 0.7791 0.0000 1
Y2 Y 0.7791 0.2209 0.0000 1
Ho1 Ho 0.0042 0.0042 0.3260 1
Ho2 Ho 0.0828 0.5823 0.4798 1
Ho3 Ho 0.0969 0.5890 0.1362 1
Ho4 Ho 0.4110 0.9031 0.8638 1
Ho5 Ho 0.4177 0.9172 0.5202 1
Ho6 Ho 0.4685 0.4685 0.7563 1
Ho7 Ho 0.5315 0.5315 0.2437 1
Ho8 Ho 0.5823 0.0828 0.4798 1
Ho9 Ho 0.5890 0.0969 0.1362 1
Ho10 Ho 0.9031 0.4110 0.8638 1
Ho11 Ho 0.9172 0.4177 0.5202 1
Ho12 Ho 0.9958 0.9958 0.6740 1
Th1 Th 0.1791 0.1791 0.2102 1
Th2 Th 0.3131 0.3131 0.8217 1
Th3 Th 0.5000 0.5000 0.5000 1
Th4 Th 0.6869 0.6869 0.1783 1
Th5 Th 0.8209 0.8209 0.7898 1
# - ρ: 8.97 g cm⁻³
# - Crystal system: monoclinic
# - DFT total energy: -5.30 eV/atom
# - Formation energy from the elements: 4.2 eV/f.u.
# - Total moment: 0.0 μB per formula unit

=====

[4]
# Y2Ho3Th6 PBE optimized geometry
data_Y2Ho3Th6
_chemical_formula_sum 'Y2 Ho3 Th6'
_cell_length_a 31.7509
_cell_length_b 31.7509
_cell_length_c 31.7509
_cell_angle_alpha 6.45
_cell_angle_beta 6.45
_cell_angle_gamma 6.45
_space_group_name_H-M_alt 'P 1'
_space_group_IT_number 1
_space_group_name_Hall 'P 1'
loop_
_atom_site_label
_atom_site_type_symbol
_atom_site_fract_x
_atom_site_fract_y
_atom_site_fract_z
_atom_site_occupancy
Y1 Y 0.0460 0.0460 0.0460 1
Y2 Y 0.9540 0.9540 0.9540 1
Ho1 Ho 0.2269 0.2269 0.2269 1
Ho2 Ho 0.5000 0.5000 0.5000 1
Ho3 Ho 0.7731 0.7731 0.7731 1
Th1 Th 0.1365 0.1365 0.1365 1
Th2 Th 0.3185 0.3185 0.3185 1
Th3 Th 0.4097 0.4097 0.4097 1
Th4 Th 0.5903 0.5903 0.5903 1
Th5 Th 0.6815 0.6815 0.6815 1
Th6 Th 0.8635 0.8635 0.8635 1
# - ρ: 9.79 g cm⁻³
# - Crystal system: trigonal
# - DFT total energy: -6.44 eV/atom
# - Formation energy from the elements: 0.4 eV/f.u.
# - Total moment: 0.0 μB per formula unit

=====

[5]
# Y6Ho5Th PBE optimized geometry
data_Y6Ho5Th
_chemical_formula_sum 'Y6 Ho5 Th1'
_cell_length_a 9.4179
_cell_length_b 9.4179
_cell_length_c 9.4179
_cell_angle_alpha 149.07
_cell_angle_beta 115.37
_cell_angle_gamma 73.37
_space_group_name_H-M_alt 'P 1'
_space_group_IT_number 1
_space_group_name_Hall 'P 1'
loop_
_atom_site_label
_atom_site_type_symbol
_atom_site_fract_x
_atom_site_fract_y
_atom_site_fract_z
_atom_site_occupancy
Y1 Y 0.0839 0.3348 0.7491 1
Y2 Y 0.2479 0.0000 0.2479 1
Y3 Y 0.4144 0.6652 0.7491 1
Y4 Y 0.5856 0.3348 0.2509 1
Y5 Y 0.7521 0.0000 0.7521 1
Y6 Y 0.9161 0.6652 0.2509 1
Ho1 Ho 0.1657 0.1657 0.0000 1
Ho2 Ho 0.3332 0.8332 0.5000 1
Ho3 Ho 0.5000 0.5000 0.0000 1
Ho4 Ho 0.6668 0.1668 0.5000 1
Ho5 Ho 0.8343 0.8343 0.0000 1
Th1 Th 0.0000 0.5000 0.5000 1
# - ρ: 6.91 g cm⁻³
# - Crystal system: orthorhombic
# - DFT total energy: -5.73 eV/atom
# - Formation energy from the elements: 0.4 eV/f.u.
# - Total moment: 0.0 μB per formula unit

=====

[6]
# YHo2Th6 PBE optimized geometry
data_YHo2Th6
_chemical_formula_sum 'Y1 Ho2 Th6'
_cell_length_a 6.8000
_cell_length_b 6.8000
_cell_length_c 9.2263
_cell_angle_alpha 120.16
_cell_angle_beta 120.16
_cell_angle_gamma 62.10
_space_group_name_H-M_alt 'P 1'
_space_group_IT_number 1
_space_group_name_Hall 'P 1'
loop_
_atom_site_label
_atom_site_type_symbol
_atom_site_fract_x
_atom_site_fract_y
_atom_site_fract_z
_atom_site_occupancy
Y1 Y 0.0000 0.0000 0.0000 1
Ho1 Ho 0.2945 0.2945 0.8800 1
Ho2 Ho 0.7055 0.7055 0.1200 1
Th1 Th 0.1617 0.6865 0.6474 1
Th2 Th 0.3135 0.8383 0.3526 1
Th3 Th 0.3270 0.3270 0.2962 1
Th4 Th 0.6730 0.6730 0.7038 1
Th5 Th 0.6865 0.1617 0.6474 1
Th6 Th 0.8383 0.3135 0.3526 1
# - ρ: 9.85 g cm⁻³
# - Crystal system: monoclinic
# - DFT total energy: -6.38 eV/atom
# - Formation energy from the elements: 2.7 eV/f.u.
# - Total moment: 0.0 μB per formula unit

=====

[7]
# Y2HoTh4 PBE optimized geometry
data_Y2HoTh4
_chemical_formula_sum 'Y4 Ho2 Th8'
_cell_length_a 9.2636
_cell_length_b 9.2636
_cell_length_c 5.6399
_cell_angle_alpha 90.00
_cell_angle_beta 90.00
_cell_angle_gamma 90.00
_space_group_name_H-M_alt 'P 1'
_space_group_IT_number 1
_space_group_name_Hall 'P 1'
loop_
_atom_site_label
_atom_site_type_symbol
_atom_site_fract_x
_atom_site_fract_y
_atom_site_fract_z
_atom_site_occupancy
Y1 Y 0.1758 0.1758 0.0000 1
Y2 Y 0.3242 0.6758 0.5000 1
Y3 Y 0.6758 0.3242 0.5000 1
Y4 Y 0.8242 0.8242 0.0000 1
Ho1 Ho 0.0000 0.0000 0.5000 1
Ho2 Ho 0.5000 0.5000 0.0000 1
Th1 Th 0.1123 0.3722 0.5000 1
Th2 Th 0.1278 0.6123 0.0000 1
Th3 Th 0.3722 0.1123 0.5000 1
Th4 Th 0.3877 0.8722 0.0000 1
Th5 Th 0.6123 0.1278 0.0000 1
Th6 Th 0.6278 0.8877 0.5000 1
Th7 Th 0.8722 0.3877 0.0000 1
Th8 Th 0.8877 0.6278 0.5000 1
# - ρ: 8.72 g cm⁻³
# - Crystal system: tetragonal
# - DFT total energy: -6.41 eV/atom
# - Formation energy from the elements: 2.3 eV/f.u.
# - Total moment: 0.0 μB per formula unit

=====

[8]
# Y6Ho10Th PBE optimized geometry
data_Y6Ho10Th
_chemical_formula_sum 'Y6 Ho10 Th1'
_cell_length_a 9.6290
_cell_length_b 9.6290
_cell_length_c 6.8217
_cell_angle_alpha 90.00
_cell_angle_beta 90.00
_cell_angle_gamma 120.00
_space_group_name_H-M_alt 'P 1'
_space_group_IT_number 1
_space_group_name_Hall 'P 1'
loop_
_atom_site_label
_atom_site_type_symbol
_atom_site_fract_x
_atom_site_fract_y
_atom_site_fract_z
_atom_site_occupancy
Y1 Y 0.0000 0.3716 0.3101 1
Y2 Y 0.0000 0.6284 0.6899 1
Y3 Y 0.3716 0.0000 0.3101 1
Y4 Y 0.3716 0.3716 0.6899 1
Y5 Y 0.6284 0.0000 0.6899 1
Y6 Y 0.6284 0.6284 0.3101 1
Ho1 Ho 0.0000 0.2776 0.8230 1
Ho2 Ho 0.0000 0.7224 0.1770 1
Ho3 Ho 0.2776 0.0000 0.8230 1
Ho4 Ho 0.2776 0.2776 0.1770 1
Ho5 Ho 0.3333 0.6667 0.0000 1
Ho6 Ho 0.3333 0.6667 0.5000 1
Ho7 Ho 0.6667 0.3333 0.0000 1
Ho8 Ho 0.6667 0.3333 0.5000 1
Ho9 Ho 0.7224 0.0000 0.1770 1
Ho10 Ho 0.7224 0.7224 0.8230 1
Th1 Th 0.0000 0.0000 0.5000 1
# - ρ: 7.32 g cm⁻³
# - Crystal system: trigonal
# - DFT total energy: -5.26 eV/atom
# - Formation energy from the elements: 2.6 eV/f.u.
# - Total moment: 0.0 μB per formula unit

=====

[9]
# Y4Ho15Th PBE optimized geometry
data_Y4Ho15Th
_chemical_formula_sum 'Y4 Ho15 Th1'
_cell_length_a 5.0121
_cell_length_b 5.0121
_cell_length_c 24.9490
_cell_angle_alpha 90.00
_cell_angle_beta 90.00
_cell_angle_gamma 90.00
_space_group_name_H-M_alt 'P 1'
_space_group_IT_number 1
_space_group_name_Hall 'P 1'
loop_
_atom_site_label
_atom_site_type_symbol
_atom_site_fract_x
_atom_site_fract_y
_atom_site_fract_z
_atom_site_occupancy
Y1 Y 0.0000 0.0000 0.1000 1
Y2 Y 0.0000 0.0000 0.3003 1
Y3 Y 0.0000 0.0000 0.6997 1
Y4 Y 0.0000 0.0000 0.9000 1
Ho1 Ho 0.0000 0.5000 0.0000 1
Ho2 Ho 0.0000 0.5000 0.2002 1
Ho3 Ho 0.0000 0.5000 0.4012 1
Ho4 Ho 0.0000 0.5000 0.5988 1
Ho5 Ho 0.0000 0.5000 0.7998 1
Ho6 Ho 0.5000 0.0000 0.0000 1
Ho7 Ho 0.5000 0.0000 0.2002 1
Ho8 Ho 0.5000 0.0000 0.4012 1
Ho9 Ho 0.5000 0.0000 0.5988 1
Ho10 Ho 0.5000 0.0000 0.7998 1
Ho11 Ho 0.5000 0.5000 0.1001 1
Ho12 Ho 0.5000 0.5000 0.2991 1
Ho13 Ho 0.5000 0.5000 0.5000 1
Ho14 Ho 0.5000 0.5000 0.7009 1
Ho15 Ho 0.5000 0.5000 0.8999 1
Th1 Th 0.0000 0.0000 0.5000 1
# - ρ: 8.11 g cm⁻³
# - Crystal system: tetragonal
# - DFT total energy: -5.07 eV/atom
# - Formation energy from the elements: 0.5 eV/f.u.
# - Total moment: 0.0 μB per formula unit

=====

[10]
# YHo3Th2 PBE optimized geometry
data_YHo3Th2
_chemical_formula_sum 'Y2 Ho6 Th4'
_cell_length_a 6.6765
_cell_length_b 6.6765
_cell_length_c 11.3254
_cell_angle_alpha 90.00
_cell_angle_beta 90.00
_cell_angle_gamma 117.55
_space_group_name_H-M_alt 'P 1'
_space_group_IT_number 1
_space_group_name_Hall 'P 1'
loop_
_atom_site_label
_atom_site_type_symbol
_atom_site_fract_x
_atom_site_fract_y
_atom_site_fract_z
_atom_site_occupancy
Y1 Y 0.0012 0.9988 0.7500 1
Y2 Y 0.9988 0.0012 0.2500 1
Ho1 Ho 0.0011 0.4988 0.7500 1
Ho2 Ho 0.4988 0.0011 0.2500 1
Ho3 Ho 0.4990 0.5010 0.2500 1
Ho4 Ho 0.5010 0.4990 0.7500 1
Ho5 Ho 0.5012 0.9989 0.7500 1
Ho6 Ho 0.9989 0.5012 0.2500 1
Th1 Th 0.2522 0.2522 0.0000 1
Th2 Th 0.2522 0.2522 0.5000 1
Th3 Th 0.7478 0.7478 0.0000 1
Th4 Th 0.7478 0.7478 0.5000 1
# - ρ: 7.77 g cm⁻³
# - Crystal system: orthorhombic
# - DFT total energy: -5.26 eV/atom
# - Formation energy from the elements: 3.5 eV/f.u.
# - Total moment: 0.0 μB per formula unit

=====

[11]
# Y8HoTh2 PBE optimized geometry
data_Y8HoTh2
_chemical_formula_sum 'Y8 Ho1 Th2'
_cell_length_a 9.0147
_cell_length_b 9.0147
_cell_length_c 6.6485
_cell_angle_alpha 98.55
_cell_angle_beta 98.55
_cell_angle_gamma 43.17
_space_group_name_H-M_alt 'P 1'
_space_group_IT_number 1
_space_group_name_Hall 'P 1'
loop_
_atom_site_label
_atom_site_type_symbol
_atom_site_fract_x
_atom_site_fract_y
_atom_site_fract_z
_atom_site_occupancy
Y1 Y 0.0907 0.0907 0.9015 1
Y2 Y 0.1536 0.6724 0.5980 1
Y3 Y 0.3007 0.3007 0.1801 1
Y4 Y 0.3276 0.8464 0.4020 1
Y5 Y 0.6724 0.1536 0.5980 1
Y6 Y 0.6993 0.6993 0.8199 1
Y7 Y 0.8464 0.3276 0.4020 1
Y8 Y 0.9093 0.9093 0.0985 1
Ho1 Ho 0.5000 0.5000 0.0000 1
Th1 Th 0.2524 0.2524 0.6613 1
Th2 Th 0.7476 0.7476 0.3387 1
# - ρ: 6.10 g cm⁻³
# - Crystal system: monoclinic
# - DFT total energy: -6.28 eV/atom
# - Formation energy from the elements: 2.0 eV/f.u.
# - Total moment: 0.0 μB per formula unit

=====

[12]
# Y4Ho10Th PBE optimized geometry
data_Y4Ho10Th
_chemical_formula_sum 'Y4 Ho10 Th1'
_cell_length_a 8.6211
_cell_length_b 8.6211
_cell_length_c 8.6211
_cell_angle_alpha 111.22
_cell_angle_beta 111.22
_cell_angle_gamma 106.02
_space_group_name_H-M_alt 'P 1'
_space_group_IT_number 1
_space_group_name_Hall 'P 1'
loop_
_atom_site_label
_atom_site_type_symbol
_atom_site_fract_x
_atom_site_fract_y
_atom_site_fract_z
_atom_site_occupancy
Y1 Y 0.0697 0.6670 0.7367 1
Y2 Y 0.3330 0.0697 0.4027 1
Y3 Y 0.6670 0.9303 0.5973 1
Y4 Y 0.9303 0.3330 0.2633 1
Ho1 Ho 0.1266 0.2257 0.6761 1
Ho2 Ho 0.2257 0.5496 0.0992 1
Ho3 Ho 0.2500 0.7500 0.5000 1
Ho4 Ho 0.4504 0.1266 0.9008 1
Ho5 Ho 0.4504 0.5496 0.6761 1
Ho6 Ho 0.5496 0.4504 0.3239 1
Ho7 Ho 0.5496 0.8734 0.0992 1
Ho8 Ho 0.7500 0.2500 0.5000 1
Ho9 Ho 0.7743 0.4504 0.9008 1
Ho10 Ho 0.8734 0.7743 0.3239 1
Th1 Th 0.0000 0.0000 0.0000 1
# - ρ: 7.55 g cm⁻³
# - Crystal system: tetragonal
# - DFT total energy: -4.88 eV/atom
# - Formation energy from the elements: 5.9 eV/f.u.
# - Total moment: 1.0 μB per formula unit